[1]
# PBE BeAgP, relaxed
data_BeAgP
_symmetry_space_group_name_H-M 'P 1'
_symmetry_Int_Tables_number 1
_cell_length_a 3.749
_cell_length_b 6.514
_cell_length_c 3.749
_cell_angle_alpha 90.04
_cell_angle_beta 76.28
_cell_angle_gamma 90.04
loop_
_symmetry_equiv_pos_as_xyz
'x,y,z'
loop_
_atom_site_label
_atom_site_type_symbol
_atom_site_fract_x
_atom_site_fract_y
_atom_site_fract_z
_atom_site_occupancy
Be1 Be 0.506 0.879 0.020 1
Be2 Be 0.006 0.879 0.520 1
Ag1 Ag 0.010 0.491 0.021 1
Ag2 Ag 0.506 0.266 0.517 1
P1 P 0.507 0.689 0.519 1
P2 P 0.007 0.069 0.019 1
# E_form	-41	meV/atom
# final energy	-24.2	eV for the cell shown
# size of the total moment	0.000	μB/f.u.
# ρ	5.52	g/cm3

***

[2]
# PBE BeAgP2, relaxed
data_BeAgP2
_symmetry_space_group_name_H-M 'P 1'
_symmetry_Int_Tables_number 1
_cell_length_a 3.364
_cell_length_b 3.364
_cell_length_c 5.305
_cell_angle_alpha 90.00
_cell_angle_beta 90.00
_cell_angle_gamma 90.00
loop_
_symmetry_equiv_pos_as_xyz
'x,y,z'
loop_
_atom_site_label
_atom_site_type_symbol
_atom_site_fract_x
_atom_site_fract_y
_atom_site_fract_z
_atom_site_occupancy
P1 P 0.000 0.000 0.552 1
P2 P 0.000 0.000 0.948 1
Ag1 Ag 0.500 0.500 0.250 1
Be1 Be 0.500 0.500 0.750 1
# E_form	361	meV/atom
# final energy	-16.0	eV for the cell shown
# size of the total moment	0.000	μB/f.u.
# ρ	4.95	g/cm3

***

[3]
# PBE BeAgP2, relaxed
data_BeAgP2
_symmetry_space_group_name_H-M 'P 1'
_symmetry_Int_Tables_number 1
_cell_length_a 3.422
_cell_length_b 3.425
_cell_length_c 5.158
_cell_angle_alpha 90.00
_cell_angle_beta 90.00
_cell_angle_gamma 90.00
loop_
_symmetry_equiv_pos_as_xyz
'x,y,z'
loop_
_atom_site_label
_atom_site_type_symbol
_atom_site_fract_x
_atom_site_fract_y
_atom_site_fract_z
_atom_site_occupancy
Be1 Be 0.000 0.500 0.500 1
P1 P 0.500 0.500 0.000 1
P2 P 0.000 0.000 0.000 1
Ag1 Ag 0.500 0.000 0.500 1
# E_form	607	meV/atom
# final energy	-15.0	eV for the cell shown
# size of the total moment	0.000	μB/f.u.
# ρ	4.91	g/cm3

***

[4]
# PBE BeAgP, relaxed
data_BeAgP
_symmetry_space_group_name_H-M 'P 1'
_symmetry_Int_Tables_number 1
_cell_length_a 3.702
_cell_length_b 3.702
_cell_length_c 6.422
_cell_angle_alpha 90.00
_cell_angle_beta 90.00
_cell_angle_gamma 90.00
loop_
_symmetry_equiv_pos_as_xyz
'x,y,z'
loop_
_atom_site_label
_atom_site_type_symbol
_atom_site_fract_x
_atom_site_fract_y
_atom_site_fract_z
_atom_site_occupancy
Ag1 Ag 0.500 0.000 0.097 1
Ag2 Ag 0.000 0.500 0.903 1
P1 P 0.000 0.500 0.305 1
P2 P 0.500 0.000 0.695 1
Be1 Be 0.000 0.000 0.500 1
Be2 Be 0.500 0.500 0.500 1
# E_form	-17	meV/atom
# final energy	-24.1	eV for the cell shown
# size of the total moment	0.000	μB/f.u.
# ρ	5.58	g/cm3

***

[5]
# PBE BeAg2P, relaxed
data_BeAg2P
_symmetry_space_group_name_H-M 'P 1'
_symmetry_Int_Tables_number 1
_cell_length_a 4.770
_cell_length_b 4.770
_cell_length_c 2.873
_cell_angle_alpha 90.00
_cell_angle_beta 90.00
_cell_angle_gamma 110.42
loop_
_symmetry_equiv_pos_as_xyz
'x,y,z'
loop_
_atom_site_label
_atom_site_type_symbol
_atom_site_fract_x
_atom_site_fract_y
_atom_site_fract_z
_atom_site_occupancy
Ag1 Ag 0.000 0.000 0.000 1
Ag2 Ag 0.500 0.500 0.000 1
P1 P 0.000 0.500 0.500 1
Be1 Be 0.500 0.000 0.500 1
# E_form	440	meV/atom
# final energy	-13.1	eV for the cell shown
# size of the total moment	0.000	μB/f.u.
# ρ	6.93	g/cm3

***

[6]
# PBE BeAgP, relaxed
data_BeAgP
_symmetry_space_group_name_H-M 'P 1'
_symmetry_Int_Tables_number 1
_cell_length_a 5.000
_cell_length_b 5.000
_cell_length_c 5.000
_cell_angle_alpha 143.02
_cell_angle_beta 143.02
_cell_angle_gamma 53.30
loop_
_symmetry_equiv_pos_as_xyz
'x,y,z'
loop_
_atom_site_label
_atom_site_type_symbol
_atom_site_fract_x
_atom_site_fract_y
_atom_site_fract_z
_atom_site_occupancy
Be1 Be 0.283 0.283 0.000 1
Ag1 Ag 0.000 0.000 0.000 1
P1 P 0.717 0.717 0.000 1
# E_form	370	meV/atom
# final energy	-10.9	eV for the cell shown
# size of the total moment	0.000	μB/f.u.
# ρ	5.46	g/cm3

***

[7]
# PBE BeAgP, relaxed
data_BeAgP
_symmetry_space_group_name_H-M 'P 1'
_symmetry_Int_Tables_number 1
_cell_length_a 9.107
_cell_length_b 3.700
_cell_length_c 3.699
_cell_angle_alpha 59.50
_cell_angle_beta 101.56
_cell_angle_gamma 78.46
loop_
_symmetry_equiv_pos_as_xyz
'x,y,z'
loop_
_atom_site_label
_atom_site_type_symbol
_atom_site_fract_x
_atom_site_fract_y
_atom_site_fract_z
_atom_site_occupancy
Ag1 Ag 0.444 0.271 0.361 1
Ag2 Ag 0.944 0.208 0.335 1
Be1 Be 0.161 0.309 0.861 1
Be2 Be 0.661 0.735 0.270 1
P1 P 0.157 0.646 0.188 1
P2 P 0.657 0.408 0.934 1
# E_form	-57	meV/atom
# final energy	-24.3	eV for the cell shown
# size of the total moment	0.000	μB/f.u.
# ρ	5.00	g/cm3

***

[8]
# PBE BeAg2P, relaxed
data_BeAg2P
_symmetry_space_group_name_H-M 'P 1'
_symmetry_Int_Tables_number 1
_cell_length_a 4.901
_cell_length_b 4.901
_cell_length_c 4.901
_cell_angle_alpha 133.51
_cell_angle_beta 133.48
_cell_angle_gamma 67.88
loop_
_symmetry_equiv_pos_as_xyz
'x,y,z'
loop_
_atom_site_label
_atom_site_type_symbol
_atom_site_fract_x
_atom_site_fract_y
_atom_site_fract_z
_atom_site_occupancy
Ag1 Ag 0.000 0.000 0.000 1
Ag2 Ag 0.500 0.500 0.000 1
P1 P 0.250 0.750 0.500 1
Be1 Be 0.750 0.250 0.500 1
# E_form	387	meV/atom
# final energy	-13.3	eV for the cell shown
# size of the total moment	0.000	μB/f.u.
# ρ	6.97	g/cm3

***

[9]
# PBE BeAg2P, relaxed
data_BeAg2P
_symmetry_space_group_name_H-M 'P 1'
_symmetry_Int_Tables_number 1
_cell_length_a 3.612
_cell_length_b 3.790
_cell_length_c 5.068
_cell_angle_alpha 66.30
_cell_angle_beta 90.00
_cell_angle_gamma 90.00
loop_
_symmetry_equiv_pos_as_xyz
'x,y,z'
loop_
_atom_site_label
_atom_site_type_symbol
_atom_site_fract_x
_atom_site_fract_y
_atom_site_fract_z
_atom_site_occupancy
Ag1 Ag 0.500 0.294 0.294 1
Ag2 Ag 0.000 0.950 0.978 1
P1 P 0.500 0.578 0.725 1
Be1 Be 0.000 0.679 0.504 1
# E_form	179	meV/atom
# final energy	-14.1	eV for the cell shown
# size of the total moment	0.000	μB/f.u.
# ρ	6.68	g/cm3

***

[10]
# PBE BeAgP2, relaxed
data_BeAgP2
_symmetry_space_group_name_H-M 'P 1'
_symmetry_Int_Tables_number 1
_cell_length_a 3.113
_cell_length_b 3.113
_cell_length_c 6.859
_cell_angle_alpha 90.00
_cell_angle_beta 90.00
_cell_angle_gamma 90.00
loop_
_symmetry_equiv_pos_as_xyz
'x,y,z'
loop_
_atom_site_label
_atom_site_type_symbol
_atom_site_fract_x
_atom_site_fract_y
_atom_site_fract_z
_atom_site_occupancy
P1 P 0.500 0.500 0.119 1
P2 P 0.000 0.000 0.988 1
Ag1 Ag 0.000 0.000 0.604 1
Be1 Be 0.500 0.500 0.789 1
# E_form	410	meV/atom
# final energy	-15.8	eV for the cell shown
# size of the total moment	0.000	μB/f.u.
# ρ	4.47	g/cm3

***

[11]
# PBE BeAg2P, relaxed
data_BeAg2P
_symmetry_space_group_name_H-M 'P 1'
_symmetry_Int_Tables_number 1
_cell_length_a 4.455
_cell_length_b 4.455
_cell_length_c 5.133
_cell_angle_alpha 78.96
_cell_angle_beta 78.96
_cell_angle_gamma 37.73
loop_
_symmetry_equiv_pos_as_xyz
'x,y,z'
loop_
_atom_site_label
_atom_site_type_symbol
_atom_site_fract_x
_atom_site_fract_y
_atom_site_fract_z
_atom_site_occupancy
P1 P 0.250 0.250 0.250 1
Be1 Be 0.750 0.750 0.750 1
Ag1 Ag 0.014 0.014 0.981 1
Ag2 Ag 0.486 0.486 0.519 1
# E_form	352	meV/atom
# final energy	-13.4	eV for the cell shown
# size of the total moment	0.000	μB/f.u.
# ρ	6.96	g/cm3

***

[12]
# PBE BeAgP2, relaxed
data_BeAgP2
_symmetry_space_group_name_H-M 'P 1'
_symmetry_Int_Tables_number 1
_cell_length_a 3.139
_cell_length_b 2.635
_cell_length_c 7.386
_cell_angle_alpha 79.93
_cell_angle_beta 90.00
_cell_angle_gamma 90.00
loop_
_symmetry_equiv_pos_as_xyz
'x,y,z'
loop_
_atom_site_label
_atom_site_type_symbol
_atom_site_fract_x
_atom_site_fract_y
_atom_site_fract_z
_atom_site_occupancy
P1 P 0.000 0.937 0.990 1
P2 P 0.500 0.828 0.219 1
Be1 Be 0.500 0.066 0.751 1
Ag1 Ag 0.000 0.669 0.540 1
# E_form	312	meV/atom
# final energy	-16.1	eV for the cell shown
# size of the total moment	0.000	μB/f.u.
# ρ	4.94	g/cm3

***

| no. | volume (A^3/atom) |
| --- | --- |
| 1 | 14.824 |
| 2 | 15.008 |
| 3 | 15.114 |
| 4 | 14.667 |
| 5 | 15.316 |
| 6 | 14.987 |
| 7 | 16.375 |
| 8 | 15.226 |
| 9 | 15.880 |
| 10 | 16.620 |
| 11 | 15.261 |
| 12 | 15.040 |